Record 1
A plane-wave DFT calculation with PBE-GGA was carried out for crystalline Ba4Bi2Br3 at its relaxed geometry.

The space group is C2/m (No. 12) and the conventional cell measures 8.6162, 4.9691 and 19.7395 Å, with angles of 90.00, 90.07 and 90.00 degrees. Symmetry generates all atoms from Ba at (0.0005, 0.0000, 0.3252), Ba at (0.1663, 0.5000, 0.8901), Bi at (0.1670, 0.5000, 0.2095), Br at (0.0000, 0.0000, 0.0000) and Br at (0.1661, 0.5000, 0.5979).

For the volume, the calculation gives 47.0 A^3/atom. The uncorrected formation energy comes out at -1468 meV per atom. The density of states at the Fermi level is 0.821 states/eV/atom.

---

Record 2
A plane-wave DFT calculation with PBE-GGA was carried out for crystalline CaAg2Pt at its relaxed geometry.

The space group is I4/mmm (No. 139) and the conventional cell measures 4.1198, 4.1198 and 9.0717 Å, with angles of 90.00, 90.00 and 90.00 degrees. Symmetry generates all atoms from Ca at (0.0000, 0.0000, 0.0000), Ag at (0.0000, 0.5000, 0.2500) and Pt at (0.0000, 0.0000, 0.5000).

The formation energy from the elements comes out at -383 meV/atom. For the volume, the calculation gives 19.2 A^3/atom. The density of states at the Fermi level is 0.305 states/eV/atom.

---

Record 3
A plane-wave DFT calculation with PBE-GGA was carried out for crystalline PmGaO2 at its relaxed geometry.

The space group is R-3m (No. 166, hexagonal axes) and the conventional cell measures 3.2215, 3.2215 and 20.0000 Å, with angles of 90.00, 90.00 and 120.00 degrees. Symmetry generates all atoms from Pm at (0.0000, 0.0000, 0.0000), Ga at (0.0000, 0.0000, 0.5000) and O at (0.0000, 0.0000, 0.1175).

For the volume, the calculation gives 15.0 A^3/atom. The uncorrected formation energy comes out at -1537 meV per atom. The density of states at the Fermi level is 0.498 states/eV/atom.

---

Record 4
A plane-wave DFT calculation with PBE-GGA was carried out for crystalline Pr8Sb2Rh3 at its relaxed geometry.

The space group is C2/m (No. 12) and the conventional cell measures 16.3672, 8.2021 and 7.0694 Å, with angles of 90.00, 105.77 and 90.00 degrees. Symmetry generates all atoms from Pr at (0.0940, 0.0000, 0.3844), Pr at (0.1027, 0.5000, 0.4050), Pr at (0.1065, 0.2576, 0.8989), Sb at (0.2443, 0.0000, 0.1654), Rh at (0.0000, 0.2491, 0.5000) and Rh at (0.0000, 0.5000, 0.0000).

For the volume, the calculation gives 35.1 A^3/atom. The uncorrected formation energy comes out at -579 meV per atom. The density of states at the Fermi level is 0.664 states/eV/atom.

---

Record 5
A plane-wave DFT calculation with PBE-GGA was carried out for crystalline Pm8AsP3Se4 at its relaxed geometry.

The space group is R-3m (No. 166, hexagonal axes) and the conventional cell measures 8.3199, 8.3199 and 20.7252 Å, with angles of 90.00, 90.00 and 120.00 degrees. Symmetry generates all atoms from Pm at (0.0000, 0.0000, 0.2434), Pm at (0.0047, 0.5023, 0.7556), As at (0.0000, 0.0000, 0.5000), P at (0.0000, 0.5000, 0.5000), Se at (0.0000, 0.0000, 0.0000) and Se at (0.0000, 0.5000, 0.0000).

For the volume, the calculation gives 25.9 A^3/atom. The uncorrected formation energy comes out at -1777 meV per atom. The density of states at the Fermi level is 0.345 states/eV/atom.

---

Record 6
A plane-wave DFT calculation with PBE-GGA was carried out for crystalline MgZn2Mo at its relaxed geometry.

The space group is C2/m (No. 12) and the conventional cell measures 5.6743, 7.8489 and 2.8129 Å, with angles of 90.00, 90.20 and 90.00 degrees. Symmetry generates all atoms from Mg at (0.0000, 0.0000, 0.0000), Zn at (0.2500, 0.2500, 0.5000) and Mo at (0.0000, 0.5000, 0.0000).

The formation energy from the elements comes out at 49 meV/atom. For the volume, the calculation gives 15.7 A^3/atom. The density of states at the Fermi level is 0.055 states/eV/atom.

---

Record 7
A plane-wave DFT calculation with PBE-GGA was carried out for crystalline Tb3HoO at its relaxed geometry.

The space group is Pm-3m (No. 221) and the conventional cell measures 4.9484, 4.9484 and 4.9484 Å, with angles of 90.00, 90.00 and 90.00 degrees. Symmetry generates all atoms from Tb at (0.0000, 0.0000, 0.5000), Ho at (0.5000, 0.5000, 0.5000) and O at (0.0000, 0.0000, 0.0000).

For the volume, the calculation gives 24.2 A^3/atom. The uncorrected formation energy comes out at -1108 meV per atom. The density of states at the Fermi level is 0.997 states/eV/atom.

---

Record 8
A plane-wave DFT calculation with PBE-GGA was carried out for crystalline CdPd2Se2 at its relaxed geometry.

The space group is P4/mbm (No. 127) and the conventional cell measures 7.4006, 7.4006 and 3.5185 Å, with angles of 90.00, 90.00 and 90.00 degrees. Symmetry generates all atoms from Cd at (0.0000, 0.0000, 0.0000), Pd at (0.1580, 0.3420, 0.5000) and Se at (0.1565, 0.6565, 0.0000).

For the volume, the calculation gives 19.3 A^3/atom. The uncorrected formation energy comes out at -75 meV per atom. The density of states at the Fermi level is 0.285 states/eV/atom.

---

Record 9
A plane-wave DFT calculation with PBE-GGA was carried out for crystalline ZrScCl3 at its relaxed geometry.

The space group is Pm-3m (No. 221) and the conventional cell measures 4.9879, 4.9879 and 4.9879 Å, with angles of 90.00, 90.00 and 90.00 degrees. Symmetry generates all atoms from Zr at (0.0000, 0.0000, 0.0000), Sc at (0.5000, 0.5000, 0.5000) and Cl at (0.0000, 0.5000, 0.5000).

For the volume, the calculation gives 24.8 A^3/atom. The uncorrected formation energy comes out at -645 meV per atom. The density of states at the Fermi level is 1.072 states/eV/atom.

---

Record 10
A plane-wave DFT calculation with PBE-GGA was carried out for crystalline Ba4AgPb at its relaxed geometry.

The space group is C2/c (No. 15) and the conventional cell measures 11.0490, 15.8669 and 7.9453 Å, with angles of 90.00, 124.93 and 90.00 degrees. Symmetry generates all atoms from Ba at (0.1248, 0.1833, 0.0967), Ba at (0.1992, 0.4423, 0.2764), Ag at (0.0000, 0.0013, 0.7500) and Pb at (0.0000, 0.3661, 0.7500).

The formation energy from the elements comes out at -288 meV/atom. For the volume, the calculation gives 47.6 A^3/atom. The density of states at the Fermi level is 1.105 states/eV/atom.

---

Record 11
A plane-wave DFT calculation with PBE-GGA was carried out for crystalline CeNd2MgAs4 at its relaxed geometry.

The space group is P2/m (No. 10) and the conventional cell measures 7.1993, 4.2298 and 7.2857 Å, with angles of 90.00, 109.81 and 90.00 degrees. Symmetry generates all atoms from Ce at (0.0000, 0.0000, 0.0000), Nd at (0.0000, 0.5000, 0.5000), Nd at (0.5000, 0.0000, 0.5000), Mg at (0.5000, 0.5000, 0.0000), As at (0.2460, 0.5000, 0.2413) and As at (0.2554, 0.0000, 0.7650).

The formation energy from the elements comes out at -1175 meV/atom. For the volume, the calculation gives 26.1 A^3/atom. The density of states at the Fermi level is 0.271 states/eV/atom.

---

Record 12
A plane-wave DFT calculation with PBE-GGA was carried out for crystalline CaYSi2 at its relaxed geometry.

The space group is R-3m (No. 166, hexagonal axes) and the conventional cell measures 3.6828, 3.6828 and 25.2691 Å, with angles of 90.00, 90.00 and 120.00 degrees. Symmetry generates all atoms from Ca at (0.0000, 0.0000, 0.0000), Y at (0.0000, 0.0000, 0.5000) and Si at (0.0000, 0.0000, 0.2482).

For the volume, the calculation gives 24.7 A^3/atom. The uncorrected formation energy comes out at -227 meV per atom. The density of states at the Fermi level is 0.291 states/eV/atom.

---

Record 13
A plane-wave DFT calculation with PBE-GGA was carried out for crystalline TaSbIr2 at its relaxed geometry.

The space group is Pmmm (No. 47) and the conventional cell measures 3.0335, 3.8836 and 5.8194 Å, with angles of 90.00, 90.00 and 90.00 degrees. Symmetry generates all atoms from Ta at (0.0000, 0.0000, 0.0000), Sb at (0.0000, 0.0000, 0.5000) and Ir at (0.5000, 0.5000, 0.2334).

For the volume, the calculation gives 17.1 A^3/atom. The uncorrected formation energy comes out at -199 meV per atom. The density of states at the Fermi level is 0.639 states/eV/atom.

---

Record 14
A plane-wave DFT calculation with PBE-GGA was carried out for crystalline B2C at its relaxed geometry.

The space group is P1 (No. 1) and the conventional cell measures 3.5156, 4.5213 and 5.5995 Å, with angles of 105.53, 99.55 and 98.55 degrees. Symmetry generates all atoms from B at (0.0000, 0.0000, 0.0000), B at (0.0130, 0.9983, 0.4666), B at (0.1573, 0.6218, 0.8326), B at (0.3387, 0.8184, 0.1542), B at (0.3790, 0.4053, 0.0242), B at (0.4068, 0.2970, 0.6630), B at (0.7596, 0.8323, 0.6844), B at (0.9286, 0.2145, 0.7721), C at (0.0907, 0.6421, 0.3653), C at (0.3700, 0.6047, 0.5878), C at (0.7479, 0.0671, 0.2407) and C at (0.7478, 0.3814, 0.2214).

The formation energy from the elements comes out at 453 meV/atom. For the volume, the calculation gives 6.9 A^3/atom. The density of states at the Fermi level is 0.167 states/eV/atom.

---

Record 15
A plane-wave DFT calculation with PBE-GGA was carried out for crystalline PrZnPb at its relaxed geometry.

The space group is P-3m1 (No. 164) and the conventional cell measures 4.8593, 4.8593 and 8.0452 Å, with angles of 90.00, 90.00 and 120.00 degrees. Symmetry generates all atoms from Pr at (0.0000, 0.0000, 0.2194), Zn at (0.3333, 0.6667, 0.0054) and Pb at (0.3333, 0.6667, 0.5728).

The formation energy from the elements comes out at -268 meV/atom. For the volume, the calculation gives 27.4 A^3/atom. The density of states at the Fermi level is 0.791 states/eV/atom.

---

Record 16
A plane-wave DFT calculation with PBE-GGA was carried out for crystalline Pm4Dy7Er at its relaxed geometry.

The space group is P-1 (No. 2) and the conventional cell measures 6.5370, 6.8241 and 9.1010 Å, with angles of 85.44, 77.19 and 82.14 degrees. Symmetry generates all atoms from Pm at (0.1395, 0.3100, 0.2826), Pm at (0.3395, 0.8832, 0.6934), Dy at (0.0115, 0.2531, 0.9489), Dy at (0.1833, 0.8019, 0.3595), Dy at (0.3106, 0.3939, 0.6153), Dy at (0.5000, 0.0000, 0.0000) and Er at (0.5000, 0.5000, 0.0000).

The formation energy from the elements comes out at 88 meV/atom. For the volume, the calculation gives 32.6 A^3/atom. The density of states at the Fermi level is 1.564 states/eV/atom.

---

Record 17
A plane-wave DFT calculation with PBE-GGA was carried out for crystalline ReOs3 at its relaxed geometry.

The space group is P6_3/mmc (No. 194) and the conventional cell measures 5.5109, 5.5109 and 8.8053 Å, with angles of 90.00, 90.00 and 120.00 degrees. Symmetry generates all atoms from Re at (0.0000, 0.0000, 0.0000), Re at (0.3333, 0.6667, 0.2500), Os at (0.0000, 0.5000, 0.0000) and Os at (0.1663, 0.3326, 0.7500).

The formation energy from the elements comes out at 20 meV/atom. For the volume, the calculation gives 14.5 A^3/atom. The density of states at the Fermi level is 0.900 states/eV/atom.

---

Record 18
A plane-wave DFT calculation with PBE-GGA was carried out for crystalline LiCaF2 at its relaxed geometry.

The space group is R-3m (No. 166, hexagonal axes) and the conventional cell measures 3.7815, 3.7815 and 17.0511 Å, with angles of 90.00, 90.00 and 120.00 degrees. Symmetry generates all atoms from Li at (0.0000, 0.0000, 0.0000), Ca at (0.0000, 0.0000, 0.5000) and F at (0.0000, 0.0000, 0.1144).

For the volume, the calculation gives 17.6 A^3/atom. The uncorrected formation energy comes out at -2817 meV per atom. The density of states at the Fermi level is 0.283 states/eV/atom.

---

Record 19
A plane-wave DFT calculation with PBE-GGA was carried out for crystalline Tl2Cd at its relaxed geometry.

The space group is P-3m1 (No. 164) and the conventional cell measures 3.5848, 3.5848 and 7.7217 Å, with angles of 90.00, 90.00 and 120.00 degrees. Symmetry generates all atoms from Tl at (0.3333, 0.6667, 0.3222) and Cd at (0.0000, 0.0000, 0.0000).

The formation energy from the elements comes out at 56 meV/atom. For the volume, the calculation gives 28.6 A^3/atom. The density of states at the Fermi level is 0.685 states/eV/atom.

---

Record 20
A plane-wave DFT calculation with PBE-GGA was carried out for crystalline AlB6N6 at its relaxed geometry.

The space group is Pm-3 (No. 200) and the conventional cell measures 4.5903, 4.5903 and 4.5903 Å, with angles of 90.00, 90.00 and 90.00 degrees. Symmetry generates all atoms from Al at (0.0000, 0.0000, 0.0000), B at (0.0000, 0.2455, 0.5000) and N at (0.0000, 0.5000, 0.2537).

For the volume, the calculation gives 7.4 A^3/atom. The uncorrected formation energy comes out at -238 meV per atom. The density of states at the Fermi level is 0.194 states/eV/atom.